Entry 1:
## PrB2Pt10 (PBE)

Data for PrB2Pt10 after structural relaxation.

Cell lengths 5.317, 7.812, 6.040 Å; angles 81.39, 63.89, 70.10 degrees
Positions (direct):
Pt 0.951 0.356 0.741
Pt 0.000 0.000 0.500
Pt 0.049 0.644 0.259
Pt 0.500 0.000 0.500
Pt 0.692 0.356 0.259
Pt 0.308 0.644 0.741
Pt 0.762 0.730 0.746
Pt 0.492 0.270 0.746
Pt 0.508 0.730 0.254
Pt 0.238 0.270 0.254
B 0.000 0.500 0.000
B 0.500 0.500 0.000
Pr 0.000 0.000 0.000

Results
* ΔH_f (0 K): -0.23 eV per atom
* size of the total moment: 0.0 μB/cell

---

Entry 2:
## SbTe2HIr (PBE)

Data for SbTe2HIr after structural relaxation.

Cell lengths 5.440, 5.440, 5.029 Å; angles 90.00, 90.00, 90.00 degrees
Last column: magnetic moment on the atom in μB.
Positions (direct):
Sb 0.000 0.000 0.500  0.01
Te 0.500 0.000 0.000  0.07
Te 0.000 0.500 0.000  0.07
H 0.500 0.500 0.500  0.34
Ir 0.000 0.000 0.000  0.03

Results
* size of the total moment: 1.1 μB/cell
* energy relative to the lowest polymorph listed for this composition: 107 meV per atom

---

Entry 3:
## KAs2Pt (PBE)

Data for KAs2Pt after structural relaxation.

Cell lengths 4.000, 4.787, 5.845 Å; angles 78.89, 90.00, 90.00 degrees
Positions (direct):
As 0.000 0.008 0.888
As 0.500 0.191 0.127
K 0.000 0.600 0.490
Pt 0.500 0.701 0.995

Results
* ΔH_f (0 K): -0.27 eV per atom
* size of the total moment: 0.0 μB/cell
* energy relative to the lowest polymorph listed for this composition: 172 meV per atom

---

Entry 4:
## InHg7Pb3 (PBE)

Data for InHg7Pb3 after structural relaxation.

Cell lengths 3.410, 14.869, 12.711 Å; angles 90.00, 90.00, 96.58 degrees
Positions (direct):
Hg 0.707 0.415 0.078
Hg 0.293 0.585 0.922
Hg 0.707 0.415 0.422
Hg 0.507 0.015 0.623
Hg 0.647 0.294 0.891
Hg 0.493 0.985 0.123
Hg 0.507 0.015 0.877
Hg 0.293 0.585 0.578
Hg 0.353 0.706 0.391
Hg 0.625 0.251 0.250
Hg 0.375 0.749 0.750
Hg 0.493 0.985 0.377
Hg 0.353 0.706 0.109
Hg 0.647 0.294 0.609
In 0.079 0.158 0.750
In 0.921 0.842 0.250
Pb 0.083 0.165 0.448
Pb 0.083 0.165 0.052
Pb 0.917 0.835 0.948
Pb 0.917 0.835 0.552
Pb 0.220 0.440 0.750
Pb 0.780 0.560 0.250

Results
* ΔH_f (0 K): 0.04 eV per atom
* size of the total moment: 0.0 μB/cell

---

Entry 5:
## NaPPt2 (PBE)

Data for NaPPt2 after structural relaxation.

Cell lengths 3.390, 3.390, 8.549 Å; angles 78.56, 78.56, 60.00 degrees
Positions (direct):
Pt 0.887 0.887 0.340
Pt 0.113 0.113 0.660
Na 0.000 0.000 0.000
P 0.500 0.500 0.500

Results
* ΔH_f (0 K): -0.05 eV per atom
* size of the total moment: 0.0 μB/cell

---

Entry 6:
## LiPmCu2As2 (PBE)

Data for LiPmCu2As2 after structural relaxation.

Cell lengths 4.169, 4.169, 6.868 Å; angles 90.00, 90.00, 120.00 degrees
Positions (direct):
Pm 0.000 0.000 0.000
Li 0.000 0.000 0.500
Cu 0.667 0.333 0.335
Cu 0.333 0.667 0.665
As 0.333 0.667 0.265
As 0.667 0.333 0.735

Results
* ΔH_f (0 K): -0.73 eV per atom
* size of the total moment: 0.0 μB/cell

---

Entry 7:
## Er2TlTe (PBE)

Data for Er2TlTe after structural relaxation.

Cell lengths 4.008, 4.008, 8.721 Å; angles 76.72, 76.72, 60.00 degrees
Positions (direct):
Te 0.667 0.667 0.998
Er 0.078 0.078 0.765
Er 0.255 0.255 0.235
Tl 0.499 0.499 0.502

Results
* E_form (uncorrected): -688.2 meV per atom
* size of the total moment: 0.0 μB/cell
* energy relative to the lowest polymorph listed for this composition: 72 meV per atom

---

Entry 8:
## TaCuPdPb2 (PBE)

Data for TaCuPdPb2 after structural relaxation.

Cell lengths 4.975, 4.819, 4.975 Å; angles 90.00, 90.00, 90.00 degrees
Positions (direct):
Pd 0.500 0.500 0.500
Cu 0.000 0.000 0.000
Pb 0.500 0.000 0.000
Pb 0.000 0.000 0.500
Ta 0.000 0.500 0.000

Results
* ΔH_f (0 K): 1.01 eV per atom
* size of the total moment: 0.0 μB/cell